(1)
The following is a DFT calculation (PBE) of TaSb2Pb after structural relaxation.

Cell: 3.131 3.131 10.859 Å, 90.00 90.00 102.00°
Positions (direct):
Sb: 0.000 0.000 0.997
Sb: 0.500 0.500 0.298
Pb: 0.500 0.500 0.713
Ta: 0.000 0.000 0.492

Results
**Formation energy from raw total energies**: 0.337 eV per atom
**DOS at the Fermi energy**: 0.7339 states/eV/atom
**Size of the total moment**: 0.00 μB per formula unit
**Space-group type**: No. 35

---

(2)
The following is a DFT calculation (PBE) of TaSb2Pb after structural relaxation.

Cell: 5.888 5.888 5.888 Å, 135.70 135.70 64.45°
Positions (direct):
Ta: 0.500 0.500 0.000
Sb: 0.000 0.000 0.000
Sb: 0.250 0.750 0.500
Pb: 0.750 0.250 0.500

Results
**Formation energy from raw total energies**: 0.590 eV per atom
**DOS at the Fermi energy**: 0.8785 states/eV/atom
**Size of the total moment**: 0.04 μB per formula unit
**Space-group type**: No. 119

---

(3)
The following is a DFT calculation (PBE) of TaSb2Pb after structural relaxation.

Cell: 10.590 10.590 10.590 Å, 18.55 18.55 18.55°
Positions (direct):
Sb: 0.983 0.983 0.983
Sb: 0.517 0.517 0.517
Ta: 0.250 0.250 0.250
Pb: 0.750 0.750 0.750

Results
**Formation energy from raw total energies**: 0.078 eV per atom
**DOS at the Fermi energy**: 0.5899 states/eV/atom
**Size of the total moment**: 0.00 μB per formula unit
**Space-group type**: No. 166

---

(4)
The following is a DFT calculation (PBE) of Ta2SbPb after structural relaxation.

Cell: 3.062 3.062 10.742 Å, 90.00 90.00 106.23°
Positions (direct):
Ta: 0.500 0.500 0.216
Ta: 0.000 0.000 0.019
Pb: 0.000 0.000 0.452
Sb: 0.500 0.500 0.813

Results
**Formation energy from raw total energies**: 0.146 eV per atom
**Energy above the most stable polymorph in this dataset**: 0.021 eV per atom
**DOS at the Fermi energy**: 0.6100 states/eV/atom
**Size of the total moment**: 0.00 μB per formula unit
**Space-group type**: No. 35